[1]
Entry from Alexandria via LeMat-Bulk: a geometry-optimized CoCu2Ni structure (PBE-GGA).

Cell lengths 4.345, 4.345, 4.345 Å; angles 131.10, 131.10, 71.65 degrees
Positions (direct):
Co 0.000 0.000 0.000
Cu 0.250 0.750 0.500
Cu 0.500 0.500 0.000
Ni 0.750 0.250 0.500

Computed properties:
The calculation puts the density at 8.9 Mg/m³. For the electronic total energy, the calculation gives -5.151 eV per atom. Its crystal system is tetragonal. The calculation puts the formation energy at 0.48 eV/f.u.



[2]
Entry from Alexandria via LeMat-Bulk: a geometry-optimized Co2CuNi4 structure (PBE-GGA).

Cell lengths 14.387, 14.387, 14.387 Å; angles 9.95, 9.95, 9.95 degrees
Positions (direct):
Co 0.071 0.071 0.071
Co 0.929 0.929 0.929
Cu 0.500 0.500 0.500
Ni 0.216 0.216 0.216
Ni 0.357 0.357 0.357
Ni 0.643 0.643 0.643
Ni 0.784 0.784 0.784

Computed properties:
The calculation puts the density at 9.0 Mg/m³. For the electronic total energy, the calculation gives -5.912 eV per atom. Its crystal system is trigonal. The calculation puts the formation energy at 0.05 eV/f.u.



[3]
Entry from Alexandria via LeMat-Bulk: a geometry-optimized CoCu2Ni structure (PBE-GGA).

Cell lengths 5.181, 5.181, 5.181 Å; angles 102.35, 102.35, 124.91 degrees
Positions (direct):
Co 0.000 0.000 0.000
Co 0.750 0.250 0.500
Cu 0.125 0.625 0.000
Cu 0.375 0.375 0.500
Cu 0.625 0.125 0.000
Cu 0.875 0.875 0.500
Ni 0.250 0.750 0.500
Ni 0.500 0.500 0.000

Computed properties:
The calculation puts the density at 8.0 Mg/m³. For the electronic total energy, the calculation gives -4.720 eV per atom. Its crystal system is tetragonal. The calculation puts the formation energy at 2.20 eV/f.u.